# ZrGeIO2 meta-GGA SCAN PBEsol geometry
data_ZrGeIO2
_cell_length_a 4.0952
_cell_length_b 4.0952
_cell_length_c 6.0483
_cell_angle_alpha 90.00
_cell_angle_beta 90.00
_cell_angle_gamma 90.00
_symmetry_space_group_name_H-M 'P 4/m m m'
_symmetry_Int_Tables_number 123
_symmetry_space_group_name_Hall '-P 4 2'
loop_
_atom_site_label
_atom_site_fract_x
_atom_site_fract_y
_atom_site_fract_z
Zr1 0.0000 0.0000 0.0000
Ge1 0.5000 0.5000 0.5000
I1 0.0000 0.0000 0.5000
O1 0.0000 0.5000 0.0000
# magnetization	0.18	μB/atom
# electronic total energy	-21.18	eV per atom
# N(E_F)	2.512	states/eV per cell
# density	5.28	g cm⁻³
# formation energy (no corrections)	-1.38	eV/atom

***

# TcBiRh3 meta-GGA SCAN PBEsol geometry
data_TcBiRh3
_cell_length_a 4.6265
_cell_length_b 4.6265
_cell_length_c 4.6265
_cell_angle_alpha 90.00
_cell_angle_beta 90.00
_cell_angle_gamma 90.00
_symmetry_space_group_name_H-M 'P m -3 m'
_symmetry_Int_Tables_number 221
_symmetry_space_group_name_Hall '-P 4 2 3'
loop_
_atom_site_label
_atom_site_fract_x
_atom_site_fract_y
_atom_site_fract_z
Tc1 0.0000 0.0000 0.0000
Bi1 0.5000 0.5000 0.5000
Rh1 0.0000 0.0000 0.5000
# magnetization	0.00	μB/atom
# electronic total energy	-41.99	eV per atom
# N(E_F)	3.712	states/eV per cell
# density	10.32	g cm⁻³
# formation energy	0.998	eV/atom

***

# Zr2Cr3Fe meta-GGA SCAN PBEsol geometry
data_Zr2Cr3Fe
_cell_length_a 7.9340
_cell_length_b 5.0639
_cell_length_c 8.4765
_cell_angle_alpha 90.00
_cell_angle_beta 90.00
_cell_angle_gamma 90.00
_symmetry_space_group_name_H-M 'A m m 2'
_symmetry_Int_Tables_number 38
loop_
_symmetry_equiv_pos_as_xyz
'x,y,z'
'-x,-y,z'
'-x,y,z'
'x,-y,z'
'x,y+1/2,z+1/2'
'-x,-y+1/2,z+1/2'
'-x,y+1/2,z+1/2'
'x,-y+1/2,z+1/2'
loop_
_atom_site_label
_atom_site_fract_x
_atom_site_fract_y
_atom_site_fract_z
Zr1 0.1846 0.0000 0.0000
Zr2 0.3085 0.0000 0.3322
Cr1 0.0000 0.0000 0.4869
Cr2 0.2390 0.0000 0.6647
Cr3 0.5000 0.0000 0.8311
Cr4 0.5000 0.2494 0.0811
Fe1 0.0000 0.2496 0.2496
# magnetization	0.00	μB/atom
# electronic total energy	-22.44	eV per atom
# N(E_F)	17.646	states/eV per cell
# density	7.69	g cm⁻³
# formation energy	0.006	eV/atom

***

# ZrAlIr2 meta-GGA SCAN PBEsol geometry
data_ZrAlIr2
_cell_length_a 2.8197
_cell_length_b 2.8197
_cell_length_c 27.5217
_cell_angle_alpha 90.00
_cell_angle_beta 90.00
_cell_angle_gamma 120.00
_symmetry_space_group_name_H-M 'R 3 m'
_symmetry_Int_Tables_number 160
_symmetry_space_group_name_Hall 'R 3 -2"'
loop_
_atom_site_label
_atom_site_fract_x
_atom_site_fract_y
_atom_site_fract_z
Zr1 0.0000 0.0000 0.0000
Al1 0.0000 0.0000 0.2393
Ir1 0.0000 0.0000 0.5013
Ir2 0.0000 0.0000 0.7523
# magnetization	0.00	μB/atom
# electronic total energy	-45.39	eV per atom
# N(E_F)	10.998	states/eV per cell
# density	13.21	g cm⁻³
# formation energy	-0.226	eV/atom

***

# KSmMo2O8 meta-GGA SCAN PBEsol geometry
data_KSmMo2O8
_cell_length_a 5.3209
_cell_length_b 5.3209
_cell_length_c 11.6998
_cell_angle_alpha 90.00
_cell_angle_beta 90.00
_cell_angle_gamma 90.00
_symmetry_space_group_name_H-M 'I -4'
_symmetry_Int_Tables_number 82
loop_
_symmetry_equiv_pos_as_xyz
'x,y,z'
'y,-x,-z'
'-x,-y,z'
'-y,x,-z'
'x+1/2,y+1/2,z+1/2'
'y+1/2,-x+1/2,-z+1/2'
'-x+1/2,-y+1/2,z+1/2'
'-y+1/2,x+1/2,-z+1/2'
loop_
_atom_site_label
_atom_site_fract_x
_atom_site_fract_y
_atom_site_fract_z
K1 0.0000 0.0000 0.0000
Sm1 0.0000 0.5000 0.2500
Mo1 0.0000 0.0000 0.5000
Mo2 0.0000 0.5000 0.7500
O1 0.1260 0.2402 0.4117
O2 0.1619 0.7367 0.8269
# magnetization	0.00	μB/atom
# electronic total energy	-17.00	eV per atom
# N(E_F)	0.000	states/eV per cell
# density	5.11	g cm⁻³
# formation energy (no corrections)	-2.63	eV/atom

***

# Mg2SbPb meta-GGA SCAN PBEsol geometry
data_Mg2SbPb
_cell_length_a 10.1261
_cell_length_b 12.3015
_cell_length_c 6.6398
_cell_angle_alpha 90.00
_cell_angle_beta 90.00
_cell_angle_gamma 90.00
_symmetry_space_group_name_H-M 'F d d 2'
_symmetry_Int_Tables_number 43
_symmetry_space_group_name_Hall 'F 2 -2d'
loop_
_atom_site_label
_atom_site_fract_x
_atom_site_fract_y
_atom_site_fract_z
Mg1 0.0005 0.2665 0.0000
Sb1 0.0000 0.0000 0.4993
Pb1 0.0000 0.0000 0.0012
# magnetization	0.00	μB/atom
# electronic total energy	-30.87	eV per atom
# N(E_F)	16.662	states/eV per cell
# density	6.06	g cm⁻³
# formation energy (no corrections)	-0.12	eV/atom
# E above lowest polymorph	51.4	meV/atom

***

> Which value of N(E_F) does entry 1 give?

2.512 states/eV per cell